The following is a DFT calculation (PBEsol) of a relaxed K3VS2O2 crystal.

## Properties
formation energy without anion corrections = -1714 meV per atom
total moment = 0.0 μB/f.u.

abc: 10.5117 7.2448 11.5401
angles: 90.00 121.86 90.00
Fractional coordinates of all 32 atoms:
K  0.0154  0.1379  0.3408
K  0.0154  0.3621  0.8408
K  0.2696  0.2205  0.2091
K  0.2696  0.2795  0.7091
K  0.4370  0.7385  0.3805
K  0.4370  0.7615  0.8805
K  0.5630  0.2385  0.1195
K  0.5630  0.2615  0.6195
K  0.7304  0.7205  0.2909
K  0.7304  0.7795  0.7909
K  0.9846  0.6379  0.1592
K  0.9846  0.8621  0.6592
V  0.1930  0.7015  0.5260
V  0.1930  0.7985  0.0260
V  0.8070  0.2015  0.9740
V  0.8070  0.2985  0.4740
S  0.2516  0.0351  0.9425
S  0.2516  0.4649  0.4425
S  0.3597  0.5754  0.0876
S  0.3597  0.9246  0.5876
S  0.6403  0.0754  0.4124
S  0.6403  0.4246  0.9124
S  0.7484  0.5351  0.5575
S  0.7484  0.9649  0.0575
O  0.0236  0.7154  0.9108
O  0.0236  0.7846  0.4108
O  0.1943  0.6332  0.6647
O  0.1943  0.8668  0.1647
O  0.8057  0.1332  0.8353
O  0.8057  0.3668  0.3353
O  0.9764  0.2154  0.5892
O  0.9764  0.2846  0.0892